1.
{
  "formula": "Ac2ZrPt3O12",
  "functional": "GGA-PBE",
  "state": "optimized geometry",
  "cell": [[-2.759, 4.807, 4.002], [1.641, -0.072, 6.636], [4.111, 4.952, 2.305]],
  "species": ["Ac", "Ac", "Zr", "Pt", "Pt", "Pt", "O", "O", "O", "O", "O", "O", "O", "O", "O", "O", "O", "O"],
  "frac_coords": [[0.618, 0.618, 0.618], [0.382, 0.382, 0.382], [0.000, 0.000, 0.000], [0.500, 0.000, 0.000], [0.000, 0.500, 0.000], [0.000, 0.000, 0.500], [0.262, 0.262, 0.857], [0.860, 0.860, 0.416], [0.416, 0.860, 0.860], [0.857, 0.262, 0.262], [0.860, 0.416, 0.860], [0.262, 0.857, 0.262], [0.738, 0.738, 0.143], [0.140, 0.140, 0.584], [0.584, 0.140, 0.140], [0.143, 0.738, 0.738], [0.140, 0.584, 0.140], [0.738, 0.143, 0.738]],
  "formation_energy_uncorrected_ev_per_atom": -1.598,
  "total_energy_ev_per_atom": -6.841
}

2.
{
  "formula": "IrC",
  "functional": "GGA-PBE",
  "state": "optimized geometry",
  "cell": [[-4.624, 1.844, -3.934], [-0.134, -5.803, -2.563], [-4.343, -1.785, 4.268]],
  "species": ["Ir", "Ir", "Ir", "Ir", "Ir", "Ir", "Ir", "Ir", "C", "C", "C", "C", "C", "C", "C", "C"],
  "frac_coords": [[0.345, 0.345, 0.345], [0.345, 0.655, 0.655], [0.655, 0.345, 0.655], [0.655, 0.655, 0.345], [0.845, 0.845, 0.845], [0.845, 0.155, 0.155], [0.155, 0.845, 0.155], [0.155, 0.155, 0.845], [0.169, 0.169, 0.169], [0.169, 0.831, 0.831], [0.831, 0.169, 0.831], [0.831, 0.831, 0.169], [0.669, 0.669, 0.669], [0.669, 0.331, 0.331], [0.331, 0.669, 0.331], [0.331, 0.331, 0.669]],
  "e_above_lowest_polymorph_mev_per_atom": 462,
  "total_energy_ev_per_atom": -8.122,
  "e_form_ev_per_atom": 0.92
}

3.
{
  "formula": "CdTePb2",
  "functional": "GGA-PBE",
  "state": "optimized geometry",
  "cell": [[4.306, 0.000, 0.000], [0.000, 5.601, 0.000], [0.000, 0.000, 5.026]],
  "species": ["Pb", "Pb", "Te", "Cd"],
  "frac_coords": [[0.000, 0.000, 0.000], [0.500, 0.500, 0.000], [0.500, 0.000, 0.500], [0.000, 0.500, 0.500]],
  "e_above_lowest_polymorph_mev_per_atom": 52,
  "formation_energy_uncorrected_ev_per_atom": -0.015,
  "total_energy_ev_per_atom": -2.883
}

4.
{
  "formula": "KCoP2",
  "functional": "GGA-PBE",
  "state": "optimized geometry",
  "cell": [[-2.179, -2.003, 0.931], [0.355, -1.608, -2.629], [4.966, -3.964, 3.094]],
  "species": ["Co", "K", "P", "P"],
  "frac_coords": [[0.500, 0.500, 0.250], [0.500, 0.500, 0.750], [0.000, 0.000, 0.093], [0.000, 0.000, 0.407]],
  "e_above_lowest_polymorph_mev_per_atom": 265,
  "total_energy_ev_per_atom": -4.831,
  "e_form_ev_per_atom": -0.08
}

5.
{
  "formula": "SrLiSe2",
  "functional": "GGA-PBE",
  "state": "optimized geometry",
  "cell": [[-0.539, 4.964, -1.016], [-1.632, 0.040, 4.826], [4.732, -1.444, -1.217]],
  "species": ["Li", "Se", "Se", "Sr"],
  "frac_coords": [[0.250, 0.750, 0.500], [0.030, 0.030, 0.000], [0.470, 0.470, 0.000], [0.750, 0.250, 0.500]],
  "formation_energy_uncorrected_ev_per_atom": -1.238,
  "total_energy_ev_per_atom": -3.879
}

6.
{
  "formula": "Sb2IrPbI",
  "functional": "GGA-PBE",
  "state": "optimized geometry",
  "cell": [[-3.964, -2.525, -3.369], [4.200, -2.689, -2.926], [-0.294, -4.524, 3.736]],
  "species": ["Pb", "I", "Ir", "Sb", "Sb"],
  "frac_coords": [[0.000, 0.000, 0.000], [0.000, 0.000, 0.500], [0.500, 0.500, 0.500], [0.000, 0.500, 0.000], [0.500, 0.000, 0.000]],
  "e_above_lowest_polymorph_mev_per_atom": 1358,
  "formation_energy_uncorrected_ev_per_atom": 1.718,
  "total_energy_ev_per_atom": -2.754
}

7.
{
  "formula": "LiNpAu2",
  "functional": "GGA-PBE",
  "state": "optimized geometry",
  "cell": [[-2.313, 1.817, -0.187], [-3.288, -4.145, 0.394], [-0.020, 0.518, 5.280]],
  "species": ["Np", "Au", "Au", "Li"],
  "frac_coords": [[0.500, 0.500, 0.500], [0.000, 0.000, 0.500], [0.000, 0.500, 0.000], [0.500, 0.000, 0.000]],
  "e_above_lowest_polymorph_mev_per_atom": 68,
  "total_energy_ev_per_atom": -5.583,
  "e_form_ev_per_atom": -0.23
}

8.
{
  "formula": "Ce8GeTe4Se3",
  "functional": "GGA-PBE",
  "state": "optimized geometry",
  "cell": [[8.631, 0.000, 0.000], [0.000, 8.786, 0.103], [-4.315, -4.311, 6.106]],
  "species": ["Ce", "Ce", "Ce", "Ce", "Ce", "Ce", "Ce", "Ce", "Ge", "Te", "Te", "Te", "Te", "Se", "Se", "Se"],
  "frac_coords": [[0.241, 0.726, 0.985], [0.241, 0.726, 0.482], [0.258, 0.274, 0.516], [0.744, 0.726, 0.985], [0.256, 0.274, 0.015], [0.742, 0.726, 0.484], [0.759, 0.274, 0.518], [0.759, 0.274, 0.015], [0.000, 0.500, 0.000], [0.500, 0.000, 0.000], [0.500, 0.000, 0.500], [0.000, 0.000, 0.000], [0.000, 0.000, 0.500], [0.500, 0.500, 0.000], [0.500, 0.500, 0.500], [0.000, 0.500, 0.500]],
  "formation_energy_uncorrected_ev_per_atom": -1.471,
  "total_energy_ev_per_atom": -6.165
}

9.
{
  "formula": "SeIBr2",
  "functional": "GGA-PBE",
  "state": "optimized geometry",
  "cell": [[-6.864, -5.727, -2.027], [-3.538, -8.401, -0.961], [-5.993, -6.577, 2.201]],
  "species": ["I", "Se", "Br", "Br"],
  "frac_coords": [[0.000, 0.000, 0.000], [0.500, 0.500, 0.500], [0.893, 0.893, 0.893], [0.107, 0.107, 0.107]],
  "e_above_lowest_polymorph_mev_per_atom": 381,
  "formation_energy_uncorrected_ev_per_atom": 0.380,
  "total_energy_ev_per_atom": -1.715
}

10.
{
  "formula": "Rb3Ge2Cl7",
  "functional": "GGA-PBE",
  "state": "optimized geometry",
  "cell": [[5.241, 0.000, 0.000], [0.000, 5.332, 0.000], [0.000, -2.666, 13.636]],
  "species": ["Rb", "Rb", "Rb", "Ge", "Ge", "Cl", "Cl", "Cl", "Cl", "Cl", "Cl", "Cl"],
  "frac_coords": [[0.500, 0.500, 0.000], [0.500, 0.679, 0.358], [0.500, 0.321, 0.642], [0.000, 0.899, 0.798], [0.000, 0.101, 0.202], [0.000, 0.402, 0.803], [0.000, 0.805, 0.609], [0.000, 0.000, 0.000], [0.000, 0.598, 0.197], [0.500, 0.100, 0.199], [0.500, 0.900, 0.801], [0.000, 0.195, 0.391]],
  "e_above_lowest_polymorph_mev_per_atom": 24,
  "formation_energy_uncorrected_ev_per_atom": -1.380,
  "total_energy_ev_per_atom": -3.468
}

11.
{
  "formula": "YBiSbTe2",
  "functional": "GGA-PBE",
  "state": "optimized geometry",
  "cell": [[5.755, 0.000, 0.000], [0.000, 5.755, 0.000], [0.000, 0.000, 5.875]],
  "species": ["Y", "Sb", "Te", "Te", "Bi"],
  "frac_coords": [[0.000, 0.000, 0.000], [0.000, 0.000, 0.500], [0.000, 0.500, 0.000], [0.500, 0.000, 0.000], [0.500, 0.500, 0.500]],
  "e_above_lowest_polymorph_mev_per_atom": 0,
  "formation_energy_uncorrected_ev_per_atom": 0.096,
  "total_energy_ev_per_atom": -4.054
}

12.
{
  "formula": "Al3NiBi",
  "functional": "GGA-PBE",
  "state": "optimized geometry",
  "cell": [[-3.039, 2.347, 3.820], [-3.227, -4.349, 0.104], [3.112, -2.218, 3.838]],
  "species": ["Ni", "Bi", "Al", "Al", "Al"],
  "frac_coords": [[0.500, 0.500, 0.500], [0.000, 0.000, 0.000], [0.000, 0.500, 0.000], [0.000, 0.000, 0.500], [0.500, 0.000, 0.000]],
  "e_above_lowest_polymorph_mev_per_atom": 1498,
  "total_energy_ev_per_atom": -2.669,
  "e_form_ev_per_atom": 1.51
}